# ThCdPt

ThCdPt after structural relaxation (PBE, Alexandria).

space-group type: No. 187
ΔH_f (0 K): -645 meV/atom
Fermi-level density of states: 1.838 states/eV/cell
calculated density: 12876 kg/m3
raw total energy: -5.44 eV per atom

Unit cell a=4.778 b=4.778 c=3.519 alpha=90.00 beta=90.00 gamma=120.00
Sites, in units of the cell vectors:
Th: 0.000 0.000 0.000
Cd: 0.667 0.333 0.500
Pt: 0.333 0.667 0.500

---

# Th2CdPt3

Th2CdPt3 after structural relaxation (PBE, Alexandria).

space-group type: No. 227
ΔH_f (0 K): -740 meV/atom
Fermi-level density of states: 15.530 states/eV/cell
calculated density: 12382 kg/m3
raw total energy: -6.39 eV per atom

Unit cell a=9.588 b=9.588 c=9.588 alpha=60.00 beta=60.00 gamma=60.00
Sites, in units of the cell vectors:
Th: 0.210 0.763 0.763
Th: 0.237 0.237 0.237
Th: 0.237 0.237 0.790
Th: 0.237 0.790 0.237
Th: 0.763 0.210 0.763
Th: 0.763 0.763 0.210
Th: 0.763 0.763 0.763
Th: 0.790 0.237 0.237
Cd: 0.000 0.500 0.500
Cd: 0.500 0.000 0.500
Cd: 0.500 0.500 0.000
Cd: 0.500 0.500 0.500
Pt: 0.133 0.133 0.617
Pt: 0.133 0.617 0.133
Pt: 0.133 0.617 0.617
Pt: 0.383 0.383 0.867
Pt: 0.383 0.867 0.383
Pt: 0.383 0.867 0.867
Pt: 0.617 0.133 0.133
Pt: 0.617 0.133 0.617
Pt: 0.617 0.617 0.133
Pt: 0.867 0.383 0.383
Pt: 0.867 0.383 0.867
Pt: 0.867 0.867 0.383

---

# ThCdPt

ThCdPt after structural relaxation (PBE, Alexandria).

space-group type: No. 129
ΔH_f (0 K): -830 meV/atom
Fermi-level density of states: 3.506 states/eV/cell
calculated density: 12551 kg/m3
raw total energy: -5.62 eV per atom

Unit cell a=4.262 b=4.262 c=7.860 alpha=90.00 beta=90.00 gamma=90.00
Sites, in units of the cell vectors:
Th: 0.250 0.250 0.158
Th: 0.750 0.750 0.842
Cd: 0.250 0.750 0.500
Cd: 0.750 0.250 0.500
Pt: 0.250 0.250 0.787
Pt: 0.750 0.750 0.213

---

# ThCdPt2

ThCdPt2 after structural relaxation (PBE, Alexandria).

space-group type: No. 38
ΔH_f (0 K): -890 meV/atom
Fermi-level density of states: 1.723 states/eV/cell
calculated density: 13887 kg/m3
raw total energy: -5.99 eV per atom

Unit cell a=4.302 b=5.543 c=5.543 alpha=41.65 beta=90.00 gamma=90.00
Sites, in units of the cell vectors:
Th: 0.000 0.000 0.000
Cd: 0.500 0.714 0.714
Pt: 0.000 0.272 0.272
Pt: 0.500 0.440 0.440